Record 1
# KRb6Na2F PBE optimized geometry
# Mass density   1.52 g cm⁻³
# Formation energy without anion corrections   -0.489 eV per atom
# Magnetic moment   0.0 μB per formula unit
# E_tot   -1.6307 eV per atom
data_KRb6Na2F
_chemical_formula_sum 'K1 Rb6 Na2 F1'
_symmetry_space_group_name_H-M 'P 1'
_symmetry_Int_Tables_number 1
_symmetry_space_group_name_Hall 'P 1'
_cell_length_a 8.4410
_cell_length_b 8.4917
_cell_length_c 10.0396
_cell_angle_alpha 92.48
_cell_angle_beta 105.00
_cell_angle_gamma 102.56
loop_
_atom_site_label
_atom_site_type_symbol
_atom_site_fract_x
_atom_site_fract_y
_atom_site_fract_z
_atom_site_occupancy
K1 K 0.0000 0.0000 0.0000 1
Rb1 Rb 0.0556 0.5272 0.7802 1
Rb2 Rb 0.1295 0.9357 0.5172 1
Rb3 Rb 0.4939 0.6351 0.6304 1
Rb4 Rb 0.5289 0.7732 0.1838 1
Rb5 Rb 0.5296 0.2309 0.9207 1
Rb6 Rb 0.9902 0.4408 0.3302 1
Na1 Na 0.4411 0.2588 0.3105 1
Na2 Na 0.7111 0.1074 0.5806 1
F1 F 0.1648 0.6348 0.5644 1



Record 2
# AcP2Se6 PBE optimized geometry
# Mass density   3.99 g cm⁻³
# Formation energy without anion corrections   -0.533 eV per atom
# Magnetic moment   0.0 μB per formula unit
# E_tot   -4.5143 eV per atom
data_AcP2Se6
_chemical_formula_sum 'Ac3 P6 Se18'
_symmetry_space_group_name_H-M 'R 3'
_symmetry_Int_Tables_number 146
_symmetry_space_group_name_Hall 'R 3'
_cell_length_a 6.8841
_cell_length_b 6.8841
_cell_length_c 23.1762
_cell_angle_alpha 90.00
_cell_angle_beta 90.00
_cell_angle_gamma 120.00
loop_
_atom_site_label
_atom_site_type_symbol
_atom_site_fract_x
_atom_site_fract_y
_atom_site_fract_z
_atom_site_occupancy
Ac1 Ac 0.0000 0.0000 0.0000 1
P1 P 0.0000 0.0000 0.2549 1
P2 P 0.0000 0.0000 0.3530 1
Se1 Se 0.0160 0.5210 0.5559 1
Se2 Se 0.1124 0.3494 0.3755 1



Record 3
# Rb2LiSn2Se4 PBE optimized geometry
# Mass density   3.91 g cm⁻³
# Formation energy without anion corrections   -0.802 eV per atom
# Magnetic moment   0.0 μB per formula unit
# E_tot   -3.6681 eV per atom
data_Rb2LiSn2Se4
_chemical_formula_sum 'Rb4 Li2 Sn4 Se8'
_symmetry_space_group_name_H-M 'C 1 2/m 1'
_symmetry_Int_Tables_number 12
_symmetry_space_group_name_Hall '-C 2y'
_cell_length_a 16.5752
_cell_length_b 5.4229
_cell_length_c 7.3284
_cell_angle_alpha 90.00
_cell_angle_beta 109.45
_cell_angle_gamma 90.00
loop_
_atom_site_label
_atom_site_type_symbol
_atom_site_fract_x
_atom_site_fract_y
_atom_site_fract_z
_atom_site_occupancy
Rb1 Rb 0.1398 0.0000 0.1454 1
Li1 Li 0.0000 0.0000 0.5000 1
Sn1 Sn 0.1211 0.5000 0.6290 1
Se1 Se 0.0190 0.5000 0.2560 1
Se2 Se 0.1665 0.0000 0.6758 1



Record 4
# CrRuSe2 PBE optimized geometry
# Mass density   8.66 g cm⁻³
# Formation energy without anion corrections   0.203 eV per atom
# Magnetic moment   1.5 μB per formula unit
# E above lowest polymorph   475 meV/atom
# E_tot   -6.2637 eV per atom
data_CrRuSe2
_chemical_formula_sum 'Cr1 Ru1 Se2'
_symmetry_space_group_name_H-M 'P 4/m m m'
_symmetry_Int_Tables_number 123
_symmetry_space_group_name_Hall '-P 4 2'
_cell_length_a 3.0991
_cell_length_b 3.0991
_cell_length_c 6.2051
_cell_angle_alpha 90.00
_cell_angle_beta 90.00
_cell_angle_gamma 90.00
loop_
_atom_site_label
_atom_site_type_symbol
_atom_site_fract_x
_atom_site_fract_y
_atom_site_fract_z
_atom_site_occupancy
Cr1 Cr 0.0000 0.0000 0.0000 1
Ru1 Ru 0.0000 0.0000 0.5000 1
Se1 Se 0.5000 0.5000 0.2406 1